ErGa2Ru | PBE | relaxed

Cell: 3.1964 3.1964 6.8850 Å, 90.00 90.00 90.00°
Space group P4/mmm (No. 123)
Unique sites:
1 Er 0.0000 0.0000 0.0000 (multiplicity 1)
2 Ga 0.5000 0.5000 0.3011 (multiplicity 2)
3 Ru 0.0000 0.0000 0.5000 (multiplicity 1)

The value obtained for the energy relative to the elements is -428 meV per atom. For the density of states at the Fermi level, the calculation gives 0.526 states/eV/atom. As for the total energy: -5.401 eV per atom.